# 1
{"formula": "DyVBi2O6", "functional": "PBE with a Hubbard U", "state": "optimized geometry", "sg": "P2_1/c (14)", "cell": [[5.350, 0.000, -0.008], [0.000, 5.758, 0.000], [-0.131, 0.000, 10.344]], "species": ["O", "O", "Bi", "Dy", "O", "Bi", "O", "O", "O", "V", "O", "O", "Bi", "O", "O", "O", "Dy", "O", "V", "Bi"], "frac_coords": [[0.264, 0.214, 0.560], [0.851, 0.411, 0.699], [0.524, 0.429, 0.242], [0.500, 0.000, 0.000], [0.299, 0.745, 0.591], [0.024, 0.071, 0.742], [0.764, 0.286, 0.060], [0.149, 0.589, 0.301], [0.736, 0.786, 0.440], [0.500, 0.000, 0.500], [0.799, 0.755, 0.091], [0.236, 0.714, 0.940], [0.976, 0.929, 0.258], [0.649, 0.911, 0.801], [0.201, 0.245, 0.909], [0.701, 0.255, 0.409], [0.000, 0.500, 0.500], [0.351, 0.089, 0.199], [0.000, 0.500, 0.000], [0.476, 0.571, 0.758]]}


# 2
{"formula": "DyBi2WO8", "functional": "PBE with a Hubbard U", "state": "optimized geometry", "sg": "Cmmm (65)", "cell": [[-3.454, 2.924, 2.473], [1.098, -2.423, 4.414], [4.849, 4.608, 1.323]], "species": ["Bi", "Dy", "W", "O", "O", "O", "O", "Bi", "O", "O", "O", "O"], "frac_coords": [[0.500, 0.500, 0.754], [0.000, 0.000, 0.500], [0.000, 0.000, 0.000], [0.178, 0.821, 0.783], [0.822, 0.179, 0.217], [0.178, 0.821, 0.217], [0.691, 0.692, 0.500], [0.500, 0.500, 0.246], [0.732, 0.733, 0.000], [0.822, 0.179, 0.783], [0.309, 0.308, 0.500], [0.268, 0.267, 0.000]]}


# 3
{"formula": "Dy2BiWO8", "functional": "PBE with a Hubbard U", "state": "optimized geometry", "sg": "Cmmm (65)", "cell": [[5.047, -0.088, -0.003], [-0.069, 5.046, -0.005], [0.004, 0.008, 6.843]], "species": ["Dy", "O", "Dy", "O", "O", "O", "O", "O", "Bi", "O", "W", "O"], "frac_coords": [[0.500, 0.500, 0.758], [0.278, 0.277, 0.000], [0.500, 0.500, 0.242], [0.183, 0.817, 0.215], [0.817, 0.183, 0.785], [0.691, 0.691, 0.500], [0.722, 0.723, 0.000], [0.309, 0.309, 0.500], [0.000, 0.000, 0.500], [0.183, 0.817, 0.785], [0.000, 0.000, 0.000], [0.817, 0.183, 0.215]]}


no.,E (eV/atom),magnetic moment (μB/f.u.)
1,-6.83,2.0
2,-6.84,0.0
3,-7.41,0.0